[1]
Compound: BeP3H
Source: the Alexandria database
Functional: PBE
Structure: optimized geometry

Calculated values
Its crystal system is cubic. For the density of states at the Fermi level, the calculation gives 0.5538 states/eV/atom. The calculation puts the polymorph energy (0 for the lowest one) at 648 meV per atom. The calculated density comes out at 2.96 g/cm3.

Cell lengths 3.864, 3.864, 3.864 Å; angles 90.00, 90.00, 90.00 degrees
Element x y z (fractional)
Be 0.000 0.000 0.000
P 0.000 0.500 0.500
P 0.500 0.000 0.500
P 0.500 0.500 0.000
H 0.500 0.500 0.500

[2]
Compound: BeP2H
Source: the Alexandria database
Functional: PBE
Structure: optimized geometry

Calculated values
Its crystal system is cubic. For the density of states at the Fermi level, the calculation gives 0.2415 states/eV/atom. The calculation puts the polymorph energy (0 for the lowest one) at 221 meV per atom. The calculated density comes out at 2.96 g/cm3.

Cell lengths 3.852, 3.852, 3.852 Å; angles 60.00, 60.00, 60.00 degrees
Element x y z (fractional)
Be 0.000 0.000 0.000
P 0.250 0.250 0.250
P 0.750 0.750 0.750
H 0.500 0.500 0.500

[3]
Compound: PuBePH
Source: the Alexandria database
Functional: PBE
Structure: optimized geometry

Calculated values
Its crystal system is trigonal. The uncorrected energy comes out at -7.415 eV per atom. For the density of states at the Fermi level, the calculation gives 1.9704 states/eV/atom. The calculated density comes out at 9.36 g/cm3.

Cell lengths 3.816, 3.816, 4.009 Å; angles 90.00, 90.00, 120.00 degrees
Element x y z (fractional)
Pu 0.000 0.000 0.000
Be 0.333 0.667 0.479
P 0.667 0.333 0.531
H 0.333 0.667 0.093

[4]
Compound: PuBe2PH2
Source: the Alexandria database
Functional: PBE
Structure: optimized geometry

Calculated values
Its crystal system is monoclinic. The uncorrected energy comes out at -5.881 eV per atom. For the density of states at the Fermi level, the calculation gives 1.2300 states/eV/atom. The calculated density comes out at 7.13 g/cm3.

Cell lengths 5.641, 4.533, 5.996 Å; angles 90.00, 116.33, 90.00 degrees
Element x y z (fractional)
Pu 0.221 0.250 0.323
Pu 0.779 0.750 0.677
Be 0.342 0.503 0.805
Be 0.342 0.997 0.805
Be 0.658 0.003 0.195
Be 0.658 0.497 0.195
P 0.292 0.750 0.090
P 0.708 0.250 0.910
H 0.141 0.250 0.671
H 0.332 0.750 0.610
H 0.668 0.250 0.390
H 0.859 0.750 0.329

[5]
Compound: RbBe2PH2
Source: the Alexandria database
Functional: PBE
Structure: optimized geometry

Calculated values
Its crystal system is orthorhombic. The uncorrected energy comes out at -3.790 eV per atom. For the density of states at the Fermi level, the calculation gives 0.0000 states/eV/atom. The calculated density comes out at 2.31 g/cm3.

Cell lengths 7.245, 7.245, 4.360 Å; angles 90.00, 90.00, 120.80 degrees
Element x y z (fractional)
Rb 0.177 0.823 0.750
Rb 0.823 0.177 0.250
Be 0.341 0.341 0.000
Be 0.341 0.341 0.500
Be 0.659 0.659 0.000
Be 0.659 0.659 0.500
P 0.382 0.618 0.250
P 0.618 0.382 0.750
H 0.170 0.261 0.750
H 0.261 0.170 0.250
H 0.739 0.830 0.750
H 0.830 0.739 0.250

[6]
Compound: Rb2Be2P2H
Source: the Alexandria database
Functional: PBE
Structure: optimized geometry

Calculated values
Its crystal system is monoclinic. The uncorrected energy comes out at -3.586 eV per atom. For the density of states at the Fermi level, the calculation gives 0.3034 states/eV/atom. The calculated density comes out at 2.96 g/cm3.

Cell lengths 5.870, 5.870, 7.872 Å; angles 120.60, 120.60, 38.20 degrees
Element x y z (fractional)
Rb 0.060 0.060 0.333
Rb 0.940 0.940 0.667
Be 0.334 0.334 0.940
Be 0.666 0.666 0.060
P 0.274 0.274 0.175
P 0.726 0.726 0.825
H 0.500 0.500 0.000

[7]
Compound: RbBePH2
Source: the Alexandria database
Functional: PBE
Structure: optimized geometry

Calculated values
Its crystal system is tetragonal. The uncorrected energy comes out at -1.892 eV per atom. For the density of states at the Fermi level, the calculation gives 0.5596 states/eV/atom. The calculated density comes out at 2.05 g/cm3.

Cell lengths 3.825, 3.825, 7.050 Å; angles 90.00, 90.00, 90.00 degrees
Element x y z (fractional)
Rb 0.000 0.000 0.000
Be 0.500 0.500 0.500
P 0.000 0.000 0.500
H 0.000 0.500 0.000
H 0.500 0.000 0.000

[8]
Compound: Be2RePH
Source: the Alexandria database
Functional: PBE
Structure: optimized geometry

Calculated values
Its crystal system is tetragonal. The uncorrected energy comes out at -5.370 eV per atom. For the density of states at the Fermi level, the calculation gives 0.4767 states/eV/atom. The calculated density comes out at 8.28 g/cm3.

Cell lengths 3.642, 3.642, 3.571 Å; angles 90.00, 90.00, 90.00 degrees
Element x y z (fractional)
Be 0.000 0.500 0.000
Be 0.500 0.000 0.000
Re 0.000 0.000 0.500
P 0.500 0.500 0.500
H 0.000 0.000 0.000